Entry 1:
DFT (PBE-GGA) results for a geometry-optimized LaSc2Re structure.

offset from the most stable computed form	123	meV per atom
volume	96	Å³/f.u.
total energy	-7.374	eV/atom
energy of formation	0.54	eV per formula unit

a = 3.6082 Å, b = 3.6082 Å, c = 7.3819 Å
α = 90.00°, β = 90.00°, γ = 90.00°
Element x y z (fractional)
La (0.0000, 0.0000, 0.0000)
Sc (0.0000, 0.0000, 0.4221)
Sc (0.5000, 0.5000, 0.6505)
Re (0.5000, 0.5000, 0.2645)

=====

Entry 2:
DFT (PBE-GGA) results for a geometry-optimized LaSc2Re structure.

offset from the most stable computed form	286	meV per atom
volume	89	Å³/f.u.
total energy	-7.211	eV/atom
energy of formation	1.19	eV per formula unit

a = 4.2973 Å, b = 4.2973 Å, c = 4.8395 Å
α = 90.00°, β = 90.00°, γ = 90.00°
Element x y z (fractional)
La (0.0000, 0.0000, 0.0000)
Sc (0.0000, 0.5000, 0.5000)
Sc (0.5000, 0.0000, 0.5000)
Re (0.5000, 0.5000, 0.0000)